A relaxed Li6V3P8O29 crystal, computed with PBE+U.

Values from the calculation:
* total magnetization: 2.99 μB per formula unit
* offset from the most stable computed form: 0.004 eV/atom

a b c (Å): 9.8033 9.8241 14.0260
angles (deg): 89.35 88.80 60.16
With the nearest neighbours (Å) after each atom.
Fractional positions:
Li (0.0000, 0.0000, 0.0000)  4 O 1.96-2.12
Li (0.0022, 0.5563, 0.4885)  2 O 1.88-1.94
Li (0.1738, 0.9186, 0.3706)  4 O 1.96-2.17
Li (0.1812, 0.4569, 0.8774)  3 O 1.94-2.02
Li (0.3177, 0.3263, 0.3695)  4 O 1.94-2.11
Li (0.3231, 0.9097, 0.8790)  3 O 1.96-2.05
Li (0.3979, 0.0127, 0.4886)  3 O 1.94-2.00
Li (0.4167, 0.1364, 0.9964)  4 O 1.96-2.17
Li (0.4431, 0.5597, 0.5456)  1 O 1.85
Li (0.7843, 0.3181, 0.8813)  3 O 1.97-2.10
Li (0.8615, 0.5631, 0.0034)  4 O 1.97-2.15
Li (0.8712, 0.1393, 0.4967)  3 O 1.87-2.04
V (0.0887, 0.8006, 0.1866)  6 O 1.85-2.00
V (0.0976, 0.6596, 0.6867)  6 O 1.87-2.04
V (0.5235, 0.2311, 0.1820)  6 O 1.86-2.04
V (0.5355, 0.7925, 0.6830)  6 O 1.89-2.06
V (0.6558, 0.6648, 0.1910)  6 O 1.86-2.05
V (0.6676, 0.2268, 0.6892)  6 O 1.85-2.02
P (0.0004, 0.5507, 0.2761)  4 O 1.51-1.62
P (0.0110, 0.9928, 0.7788)  4 O 1.50-1.62
P (0.1814, 0.4664, 0.0930)  4 O 1.51-1.62
P (0.1892, 0.9063, 0.5932)  4 O 1.50-1.61
P (0.3249, 0.9115, 0.0933)  4 O 1.51-1.62
P (0.3322, 0.3203, 0.5904)  4 O 1.50-1.62
P (0.4049, 0.0040, 0.2746)  4 O 1.51-1.61
P (0.4114, 0.1413, 0.7741)  4 O 1.50-1.61
P (0.4178, 0.5675, 0.3078)  4 O 1.51-1.58
P (0.4269, 0.5638, 0.8068)  4 O 1.49-1.59
P (0.7582, 0.8971, 0.0633)  4 O 1.49-1.59
P (0.7729, 0.8903, 0.5639)  4 O 1.49-1.60
P (0.7758, 0.3197, 0.0979)  4 O 1.51-1.60
P (0.7901, 0.4517, 0.6017)  4 O 1.48-1.61
P (0.8522, 0.1426, 0.2809)  4 O 1.49-1.63
P (0.8595, 0.5506, 0.7853)  4 O 1.50-1.62
O (0.9998, 0.8443, 0.7650)  1 P 1.53
O (0.0056, 0.9797, 0.2745)  1 P 1.56
O (0.0135, 0.5566, 0.7782)  1 P 1.54
O (0.0914, 0.4430, 0.1842)  2 P 1.62
O (0.0911, 0.4782, 0.0045)  1 P 1.51
O (0.0946, 0.4743, 0.3638)  1 P 1.51
O (0.0951, 0.9839, 0.5060)  1 P 1.50
O (0.0971, 0.9880, 0.8674)  1 P 1.50
O (0.1014, 0.0119, 0.6860)  2 P 1.61-1.62
O (0.1750, 0.8955, 0.0957)  1 P 1.55
O (0.1810, 0.4814, 0.5902)  1 P 1.54
O (0.1978, 0.6103, 0.1116)  1 P 1.53
O (0.2135, 0.7389, 0.6098)  1 P 1.56
O (0.2714, 0.7232, 0.2716)  1 P 1.58
O (0.2821, 0.5552, 0.7645)  1 P 1.59
O (0.2986, 0.0236, 0.1838)  2 P 1.61-1.62
O (0.3104, 0.2285, 0.6813)  2 P 1.61-1.62
O (0.3199, 0.0000, 0.3645)  1 P 1.51
O (0.3309, 0.9943, 0.0034)  1 P 1.51
O (0.3351, 0.2328, 0.8633)  1 P 1.50
O (0.3445, 0.3146, 0.0912)  1 P 1.55
O (0.3520, 0.2277, 0.5014)  1 P 1.50
O (0.3523, 0.8944, 0.5894)  1 P 1.54
O (0.4128, 0.5815, 0.9122)  1 P 1.49
O (0.4147, 0.4200, 0.2712)  1 P 1.56
O (0.4169, 0.5712, 0.4151)  1 P 1.51
O (0.4192, 0.1545, 0.2721)  1 P 1.55
O (0.4271, 0.7116, 0.7588)  1 P 1.59
O (0.4266, 0.9784, 0.7747)  1 P 1.53
O (0.4735, 0.7542, 0.1084)  1 P 1.52
O (0.4740, 0.3440, 0.6104)  1 P 1.55
O (0.5671, 0.5674, 0.2633)  1 P 1.58
O (0.5667, 0.8573, 0.2625)  1 P 1.53
O (0.5743, 0.1297, 0.7548)  1 P 1.56
O (0.5827, 0.4121, 0.7732)  1 P 1.58
O (0.6010, 0.0462, 0.1011)  1 P 1.59
O (0.6124, 0.3310, 0.1122)  1 P 1.56
O (0.6182, 0.8929, 0.6048)  1 P 1.60
O (0.6214, 0.5985, 0.6071)  1 P 1.56
O (0.7084, 0.1268, 0.2574)  1 P 1.54
O (0.7154, 0.7107, 0.7619)  1 P 1.54
O (0.7568, 0.8919, 0.9569)  1 P 1.49
O (0.7595, 0.4830, 0.0961)  1 P 1.53
O (0.7624, 0.7462, 0.1085)  1 P 1.59
O (0.7657, 0.3057, 0.5999)  1 P 1.57
O (0.7704, 0.0411, 0.5994)  1 P 1.56
O (0.7888, 0.8671, 0.4589)  1 P 1.49
O (0.8368, 0.5710, 0.2773)  1 P 1.51
O (0.8424, 0.2213, 0.3727)  1 P 1.49
O (0.8426, 0.4828, 0.8784)  1 P 1.50
O (0.8462, 0.1433, 0.7777)  1 P 1.56
O (0.8568, 0.2265, 0.0092)  1 P 1.51
O (0.8726, 0.4305, 0.7031)  2 P 1.61-1.62
O (0.8752, 0.2365, 0.1912)  2 P 1.60-1.63
O (0.8916, 0.4520, 0.5227)  1 P 1.48
O (0.9036, 0.9062, 0.1004)  1 P 1.57
O (0.9174, 0.7420, 0.6124)  1 P 1.60
O (0.9921, 0.7117, 0.2577)  1 P 1.56